Entry 1:
{
  "formula": "RbSnPb3",
  "functional": "PBE-GGA",
  "state": "relaxed",
  "lattice": [[5.297, 0.000, 0.000], [0.000, 5.297, 0.000], [0.000, 0.000, 6.788]],
  "species": ["Rb", "Sn", "Pb", "Pb", "Pb"],
  "fractional_positions": [[0.000, 0.000, 0.000], [0.500, 0.500, 0.232], [0.000, 0.500, 0.493], [0.500, 0.000, 0.493], [0.500, 0.500, 0.775]],
  "spacegroup": "P4mm, No. 99",
  "e_above_lowest_polymorph_ev_per_atom": 0.009
}



Entry 2:
{
  "formula": "Rb2Sn2Pb",
  "functional": "PBE-GGA",
  "state": "relaxed",
  "lattice": [[10.750, 0.000, 0.000], [0.000, 10.750, 0.000], [0.000, 0.000, 3.407]],
  "species": ["Rb", "Rb", "Rb", "Rb", "Sn", "Sn", "Sn", "Sn", "Pb", "Pb"],
  "fractional_positions": [[0.201, 0.299, 0.000], [0.299, 0.799, 0.000], [0.701, 0.201, 0.000], [0.799, 0.701, 0.000], [0.094, 0.594, 0.500], [0.406, 0.094, 0.500], [0.594, 0.906, 0.500], [0.906, 0.406, 0.500], [0.000, 0.000, 0.500], [0.500, 0.500, 0.500]],
  "spacegroup": "P4/mbm, No. 127",
  "e_above_lowest_polymorph_ev_per_atom": 0.229
}



Entry 3:
{
  "formula": "RbSnPb",
  "functional": "PBE-GGA",
  "state": "relaxed",
  "lattice": [[4.799, 0.000, 0.000], [-0.001, 6.094, 0.000], [-0.002, -0.067, 8.488]],
  "species": ["Rb", "Rb", "Sn", "Sn", "Pb", "Pb"],
  "fractional_positions": [[0.249, 0.492, 0.272], [0.751, 0.508, 0.728], [0.249, 0.966, 0.593], [0.751, 0.034, 0.407], [0.250, 0.124, 0.929], [0.750, 0.876, 0.071]],
  "spacegroup": "P-1, No. 2",
  "e_above_lowest_polymorph_ev_per_atom": 0.060
}



Entry 4:
{
  "formula": "Rb4SnPb5",
  "functional": "PBE-GGA",
  "state": "relaxed",
  "lattice": [[-5.404, 5.969, 3.481], [5.404, -5.969, 3.481], [5.404, 5.969, -3.481]],
  "species": ["Rb", "Rb", "Rb", "Rb", "Sn", "Pb", "Pb", "Pb", "Pb", "Pb"],
  "fractional_positions": [[0.219, 0.000, 0.219], [0.495, 0.293, 0.798], [0.495, 0.697, 0.202], [0.781, 0.000, 0.781], [0.234, 0.734, 0.500], [0.190, 0.359, 0.540], [0.190, 0.651, 0.832], [0.753, 0.253, 0.500], [0.819, 0.359, 0.168], [0.819, 0.651, 0.460]],
  "spacegroup": "Imm2, No. 44"
}



Entry 5:
{
  "formula": "RbSnPb11",
  "functional": "PBE-GGA",
  "state": "relaxed",
  "lattice": [[3.289, -8.187, 0.000], [3.289, 8.187, 0.000], [-3.249, 0.000, 8.189]],
  "species": ["Rb", "Sn", "Pb", "Pb", "Pb", "Pb", "Pb", "Pb", "Pb", "Pb", "Pb", "Pb", "Pb"],
  "fractional_positions": [[0.000, 0.000, 0.000], [0.500, 0.500, 0.500], [0.000, 0.000, 0.500], [0.000, 0.500, 0.000], [0.004, 0.356, 0.357], [0.287, 0.504, 0.779], [0.356, 0.004, 0.357], [0.496, 0.713, 0.221], [0.500, 0.000, 0.000], [0.504, 0.287, 0.779], [0.644, 0.996, 0.643], [0.713, 0.496, 0.221], [0.996, 0.644, 0.643]],
  "spacegroup": "C2/m, No. 12"
}



Entry 6:
{
  "formula": "Rb2Sn4Pb5",
  "functional": "PBE-GGA",
  "state": "relaxed",
  "lattice": [[7.347, -3.435, 0.000], [7.347, 3.435, 0.000], [-6.220, 0.000, 8.342]],
  "species": ["Rb", "Rb", "Sn", "Sn", "Sn", "Sn", "Pb", "Pb", "Pb", "Pb", "Pb"],
  "fractional_positions": [[0.212, 0.212, 0.263], [0.788, 0.788, 0.737], [0.129, 0.129, 0.570], [0.255, 0.255, 0.932], [0.745, 0.745, 0.068], [0.871, 0.871, 0.430], [0.228, 0.711, 0.258], [0.289, 0.772, 0.742], [0.500, 0.500, 0.000], [0.711, 0.228, 0.258], [0.772, 0.289, 0.742]],
  "spacegroup": "C2/m, No. 12"
}



Entry 7:
{
  "formula": "Rb2Sn2Pb3",
  "functional": "PBE-GGA",
  "state": "relaxed",
  "lattice": [[13.598, 0.000, 0.000], [0.000, 4.867, 0.000], [-3.738, 0.000, 7.815]],
  "species": ["Rb", "Rb", "Rb", "Rb", "Sn", "Sn", "Sn", "Sn", "Pb", "Pb", "Pb", "Pb", "Pb", "Pb"],
  "fractional_positions": [[0.147, 0.000, 0.292], [0.353, 0.500, 0.708], [0.647, 0.500, 0.292], [0.853, 0.000, 0.708], [0.155, 0.000, 0.755], [0.345, 0.500, 0.245], [0.655, 0.500, 0.755], [0.845, 0.000, 0.245], [0.000, 0.500, 0.500], [0.105, 0.500, 0.936], [0.395, 0.000, 0.064], [0.500, 0.000, 0.500], [0.605, 0.000, 0.936], [0.895, 0.500, 0.064]],
  "spacegroup": "C2/m, No. 12"
}



Entry 8:
{
  "formula": "RbSnPb",
  "functional": "PBE-GGA",
  "state": "relaxed",
  "lattice": [[4.873, 0.000, 0.000], [-2.436, 4.220, 0.000], [0.000, 0.000, 6.110]],
  "species": ["Rb", "Sn", "Pb"],
  "fractional_positions": [[0.000, 0.000, 0.000], [0.333, 0.667, 0.589], [0.667, 0.333, 0.420]],
  "spacegroup": "P3m1, No. 156",
  "e_above_lowest_polymorph_ev_per_atom": 0.074
}



Entry 9:
{
  "formula": "RbSnPb2",
  "functional": "PBE-GGA",
  "state": "relaxed",
  "lattice": [[4.188, 0.000, 0.000], [0.000, 4.188, 0.000], [0.000, 0.000, 8.165]],
  "species": ["Rb", "Sn", "Pb", "Pb"],
  "fractional_positions": [[0.000, 0.000, 0.000], [0.000, 0.000, 0.500], [0.500, 0.500, 0.314], [0.500, 0.500, 0.686]],
  "spacegroup": "P4/mmm, No. 123"
}



Entry 10:
{
  "formula": "RbSn3Pb3",
  "functional": "PBE-GGA",
  "state": "relaxed",
  "lattice": [[9.358, 0.000, 0.000], [-4.679, 8.104, 0.000], [0.000, 0.000, 5.869]],
  "species": ["Rb", "Rb", "Sn", "Sn", "Sn", "Sn", "Sn", "Sn", "Pb", "Pb", "Pb", "Pb", "Pb", "Pb"],
  "fractional_positions": [[0.333, 0.667, 0.250], [0.667, 0.333, 0.750], [0.032, 0.216, 0.250], [0.185, 0.968, 0.250], [0.216, 0.185, 0.750], [0.784, 0.815, 0.250], [0.815, 0.032, 0.750], [0.968, 0.784, 0.750], [0.093, 0.458, 0.750], [0.366, 0.907, 0.750], [0.458, 0.366, 0.250], [0.542, 0.634, 0.750], [0.634, 0.093, 0.250], [0.907, 0.542, 0.250]],
  "spacegroup": "P6_3/m, No. 176",
  "e_above_lowest_polymorph_ev_per_atom": 0.000
}



Entry 11:
{
  "formula": "RbSnPb",
  "functional": "PBE-GGA",
  "state": "relaxed",
  "lattice": [[3.879, 0.000, 0.000], [0.000, 3.879, 0.000], [0.000, 0.000, 14.495]],
  "species": ["Rb", "Rb", "Sn", "Sn", "Pb", "Pb"],
  "fractional_positions": [[0.000, 0.000, 0.000], [0.500, 0.500, 0.500], [0.000, 0.000, 0.687], [0.500, 0.500, 0.187], [0.000, 0.000, 0.303], [0.500, 0.500, 0.803]],
  "spacegroup": "I4mm, No. 107",
  "e_above_lowest_polymorph_ev_per_atom": 0.086
}



Entry 12:
{
  "formula": "Rb2SnPb5",
  "functional": "PBE-GGA",
  "state": "relaxed",
  "lattice": [[7.477, 0.000, 0.000], [0.000, 7.477, 0.000], [0.000, 0.000, 6.098]],
  "species": ["Rb", "Rb", "Sn", "Pb", "Pb", "Pb", "Pb", "Pb"],
  "fractional_positions": [[0.000, 0.500, 0.000], [0.500, 0.000, 0.000], [0.000, 0.000, 0.500], [0.000, 0.000, 0.000], [0.290, 0.290, 0.500], [0.290, 0.710, 0.500], [0.710, 0.290, 0.500], [0.710, 0.710, 0.500]],
  "spacegroup": "P4/mmm, No. 123"
}



Entry 13:
{
  "formula": "Rb2Sn5Pb3",
  "functional": "PBE-GGA",
  "state": "relaxed",
  "lattice": [[-6.772, 7.447, 3.635], [6.772, -7.447, 3.635], [6.772, 7.447, -3.635]],
  "species": ["Rb", "Rb", "Rb", "Rb", "Sn", "Sn", "Sn", "Sn", "Sn", "Sn", "Sn", "Sn", "Sn", "Sn", "Pb", "Pb", "Pb", "Pb", "Pb", "Pb"],
  "fractional_positions": [[0.124, 0.250, 0.374], [0.376, 0.750, 0.127], [0.624, 0.250, 0.873], [0.876, 0.750, 0.626], [0.001, 0.750, 0.251], [0.131, 0.626, 0.757], [0.250, 0.250, 0.000], [0.369, 0.126, 0.495], [0.499, 0.750, 0.749], [0.501, 0.250, 0.251], [0.631, 0.874, 0.505], [0.750, 0.750, 0.000], [0.869, 0.374, 0.243], [0.999, 0.250, 0.749], [0.125, 0.867, 0.992], [0.250, 0.750, 0.500], [0.375, 0.367, 0.742], [0.625, 0.633, 0.258], [0.750, 0.250, 0.500], [0.875, 0.133, 0.008]],
  "spacegroup": "Ibam, No. 72",
  "e_above_lowest_polymorph_ev_per_atom": 0.002
}



Entry 14:
{
  "formula": "RbSn4Pb6",
  "functional": "PBE-GGA",
  "state": "relaxed",
  "lattice": [[9.721, 0.000, 0.000], [-4.861, 8.419, 0.000], [0.000, 0.000, 4.509]],
  "species": ["Rb", "Sn", "Sn", "Sn", "Sn", "Pb", "Pb", "Pb", "Pb", "Pb", "Pb"],
  "fractional_positions": [[0.000, 0.000, 0.000], [0.188, 0.375, 0.500], [0.188, 0.812, 0.500], [0.625, 0.812, 0.500], [0.667, 0.333, 0.000], [0.082, 0.541, 0.000], [0.392, 0.196, 0.500], [0.459, 0.541, 0.000], [0.459, 0.918, 0.000], [0.804, 0.196, 0.500], [0.804, 0.608, 0.500]],
  "spacegroup": "P-6m2, No. 187"
}



Entry 15:
{
  "formula": "RbSn2Pb",
  "functional": "PBE-GGA",
  "state": "relaxed",
  "lattice": [[5.271, 0.000, 0.000], [-2.636, 4.565, 0.000], [0.000, 0.000, 19.699]],
  "species": ["Rb", "Rb", "Rb", "Sn", "Sn", "Sn", "Sn", "Sn", "Sn", "Pb", "Pb", "Pb"],
  "fractional_positions": [[0.000, 0.000, 0.000], [0.333, 0.667, 0.667], [0.667, 0.333, 0.333], [0.000, 0.000, 0.210], [0.000, 0.000, 0.790], [0.333, 0.667, 0.457], [0.333, 0.667, 0.877], [0.667, 0.333, 0.123], [0.667, 0.333, 0.543], [0.000, 0.000, 0.500], [0.333, 0.667, 0.167], [0.667, 0.333, 0.833]],
  "spacegroup": "R-3m, No. 166"
}



Entry 16:
{
  "formula": "RbSn2Pb",
  "functional": "PBE-GGA",
  "state": "relaxed",
  "lattice": [[4.201, 0.000, 0.000], [0.000, 4.201, 0.000], [0.000, 0.000, 8.051]],
  "species": ["Rb", "Sn", "Sn", "Pb"],
  "fractional_positions": [[0.000, 0.000, 0.000], [0.500, 0.500, 0.318], [0.500, 0.500, 0.682], [0.000, 0.000, 0.500]],
  "spacegroup": "P4/mmm, No. 123"
}



Entry 17:
{
  "formula": "Rb2SnPb",
  "functional": "PBE-GGA",
  "state": "relaxed",
  "lattice": [[8.697, 0.000, 0.000], [0.000, 8.697, 0.000], [0.000, 0.000, 8.697]],
  "species": ["Rb", "Rb", "Rb", "Rb", "Rb", "Rb", "Rb", "Rb", "Sn", "Sn", "Sn", "Sn", "Pb", "Pb", "Pb", "Pb"],
  "fractional_positions": [[0.250, 0.250, 0.250], [0.250, 0.250, 0.750], [0.250, 0.750, 0.250], [0.250, 0.750, 0.750], [0.750, 0.250, 0.250], [0.750, 0.250, 0.750], [0.750, 0.750, 0.250], [0.750, 0.750, 0.750], [0.000, 0.000, 0.000], [0.000, 0.500, 0.500], [0.500, 0.000, 0.500], [0.500, 0.500, 0.000], [0.000, 0.000, 0.500], [0.000, 0.500, 0.000], [0.500, 0.000, 0.000], [0.500, 0.500, 0.500]],
  "spacegroup": "Fm-3m, No. 225",
  "e_above_lowest_polymorph_ev_per_atom": 0.276
}



Entry 18:
{
  "formula": "Rb2Sn2Pb",
  "functional": "PBE-GGA",
  "state": "relaxed",
  "lattice": [[11.116, 0.000, 0.000], [0.000, 11.116, 0.000], [0.000, 0.000, 3.296]],
  "species": ["Rb", "Rb", "Rb", "Rb", "Sn", "Sn", "Sn", "Sn", "Pb", "Pb"],
  "fractional_positions": [[0.205, 0.295, 0.000], [0.295, 0.795, 0.000], [0.705, 0.205, 0.000], [0.795, 0.705, 0.000], [0.090, 0.590, 0.500], [0.410, 0.090, 0.500], [0.590, 0.910, 0.500], [0.910, 0.410, 0.500], [0.000, 0.000, 0.000], [0.500, 0.500, 0.000]],
  "spacegroup": "P4/mbm, No. 127",
  "e_above_lowest_polymorph_ev_per_atom": 0.261
}



Entry 19:
{
  "formula": "RbSn2Pb",
  "functional": "PBE-GGA",
  "state": "relaxed",
  "lattice": [[5.655, 0.000, 0.000], [0.000, 5.655, 0.000], [0.000, 0.000, 21.746]],
  "species": ["Rb", "Rb", "Rb", "Rb", "Sn", "Sn", "Sn", "Sn", "Sn", "Sn", "Sn", "Sn", "Pb", "Pb", "Pb", "Pb"],
  "fractional_positions": [[0.000, 0.000, 0.000], [0.000, 0.500, 0.250], [0.500, 0.000, 0.750], [0.500, 0.500, 0.500], [0.087, 0.250, 0.625], [0.250, 0.587, 0.875], [0.250, 0.913, 0.375], [0.413, 0.250, 0.125], [0.587, 0.750, 0.125], [0.750, 0.087, 0.375], [0.750, 0.413, 0.875], [0.913, 0.750, 0.625], [0.000, 0.000, 0.500], [0.000, 0.500, 0.750], [0.500, 0.000, 0.250], [0.500, 0.500, 0.000]],
  "spacegroup": "I-42d, No. 122"
}



Entry 20:
{
  "formula": "Rb2Sn15Pb2",
  "functional": "PBE-GGA",
  "state": "relaxed",
  "lattice": [[5.578, 3.220, 5.577], [-5.578, 3.220, 5.577], [0.000, -6.440, 5.577]],
  "species": ["Rb", "Rb", "Sn", "Sn", "Sn", "Sn", "Sn", "Sn", "Sn", "Sn", "Sn", "Sn", "Sn", "Sn", "Sn", "Sn", "Sn", "Pb", "Pb"],
  "fractional_positions": [[0.155, 0.155, 0.155], [0.845, 0.845, 0.845], [0.000, 0.500, 0.500], [0.149, 0.149, 0.649], [0.149, 0.649, 0.149], [0.208, 0.500, 0.792], [0.208, 0.792, 0.500], [0.351, 0.851, 0.851], [0.500, 0.000, 0.500], [0.500, 0.208, 0.792], [0.500, 0.500, 0.000], [0.500, 0.792, 0.208], [0.649, 0.149, 0.149], [0.792, 0.208, 0.500], [0.792, 0.500, 0.208], [0.851, 0.351, 0.851], [0.851, 0.851, 0.351], [0.400, 0.400, 0.400], [0.600, 0.600, 0.600]],
  "spacegroup": "R-3m, No. 166"
}



Entry 21:
{
  "formula": "RbSn2Pb9",
  "functional": "PBE-GGA",
  "state": "relaxed",
  "lattice": [[11.371, 0.000, 0.000], [-5.685, 9.847, 0.000], [0.000, 0.000, 3.454]],
  "species": ["Rb", "Sn", "Sn", "Pb", "Pb", "Pb", "Pb", "Pb", "Pb", "Pb", "Pb", "Pb"],
  "fractional_positions": [[0.000, 0.000, 0.000], [0.333, 0.667, 0.000], [0.667, 0.333, 0.000], [0.000, 0.500, 0.000], [0.183, 0.366, 0.500], [0.183, 0.817, 0.500], [0.366, 0.183, 0.500], [0.500, 0.000, 0.000], [0.500, 0.500, 0.000], [0.634, 0.817, 0.500], [0.817, 0.183, 0.500], [0.817, 0.634, 0.500]],
  "spacegroup": "P6/mmm, No. 191"
}



Entry 22:
{
  "formula": "Rb3Sn2Pb5",
  "functional": "PBE-GGA",
  "state": "relaxed",
  "lattice": [[-5.987, 8.732, 3.840], [5.987, -8.732, 3.840], [5.987, 8.732, -3.840]],
  "species": ["Rb", "Rb", "Rb", "Rb", "Rb", "Rb", "Sn", "Sn", "Sn", "Sn", "Pb", "Pb", "Pb", "Pb", "Pb", "Pb", "Pb", "Pb", "Pb", "Pb"],
  "fractional_positions": [[0.150, 0.238, 0.387], [0.250, 0.250, 0.000], [0.350, 0.738, 0.088], [0.650, 0.262, 0.912], [0.750, 0.750, 0.000], [0.850, 0.762, 0.613], [0.164, 0.905, 0.069], [0.336, 0.405, 0.741], [0.664, 0.595, 0.259], [0.836, 0.095, 0.931], [0.036, 0.750, 0.286], [0.106, 0.664, 0.770], [0.250, 0.750, 0.500], [0.394, 0.164, 0.558], [0.464, 0.750, 0.714], [0.536, 0.250, 0.286], [0.606, 0.836, 0.442], [0.750, 0.250, 0.500], [0.894, 0.336, 0.230], [0.964, 0.250, 0.714]],
  "spacegroup": "Ibam, No. 72"
}



Entry 23:
{
  "formula": "Rb5Sn4Pb2",
  "functional": "PBE-GGA",
  "state": "relaxed",
  "lattice": [[8.085, -3.697, 0.000], [8.085, 3.697, 0.000], [-2.435, 0.000, 7.815]],
  "species": ["Rb", "Rb", "Rb", "Rb", "Rb", "Sn", "Sn", "Sn", "Sn", "Pb", "Pb"],
  "fractional_positions": [[0.000, 0.000, 0.000], [0.155, 0.622, 0.580], [0.378, 0.845, 0.420], [0.622, 0.155, 0.580], [0.845, 0.378, 0.420], [0.239, 0.239, 0.209], [0.397, 0.397, 0.122], [0.603, 0.603, 0.878], [0.761, 0.761, 0.791], [0.222, 0.222, 0.833], [0.778, 0.778, 0.167]],
  "spacegroup": "C2/m, No. 12"
}



How do the records compare in N(E_F)? In the order shown, they have 0.64; 0.91; 0.53; 0.17; 0.43; 0.55; 0.46; 0.47; 0.34; 0.52; 0.69; 0.75; 0.32; 0.51; 0.70; 0.25; 0.46; 0.91; 0.85; 0.45; 0.77; 0.47; 0.37 states/eV/atom.
How do the records compare in calculated formation energy? In the order shown, they have -0.27; 0.50; -0.37; -1.31; -0.33; -0.16; -0.81; -0.32; -0.37; 0.35; -0.29; 0.94; -1.15; 0.29; 0.04; -0.40; 0.57; 0.66; 0.32; -0.40; 0.29; -0.81; -0.30 eV per formula unit.